# 1
DFT (GGA-PBE) results for a relaxed NaCoRu2 crystal.

Lattice parameters (Å, degrees): 5.6492 5.6492 5.6492 101.06 101.06 128.05
Last column: nearest neighbours and their distance in Å.
Atoms (fractional coordinates):
Na  0.0000  0.0000  0.0000  2 Co 2.47
Na  0.7500  0.2500  0.5000  2 Co 2.47
Co  0.2500  0.7500  0.5000  4 Ru 2.34, 2 Na 2.47
Co  0.5000  0.5000  0.0000  4 Ru 2.34, 2 Na 2.47
Ru  0.1856  0.6250  0.0606  2 Co 2.34
Ru  0.3750  0.4356  0.5606  2 Co 2.34
Ru  0.5644  0.1250  0.9394  2 Co 2.34
Ru  0.8750  0.8144  0.4394  2 Co 2.34

Calculated formation energy, eV per atom: 0.957
ΔE to the lowest computed polymorph, meV per atom: 54


# 2
DFT (GGA-PBE) results for a relaxed NaIn2Cu crystal.

Lattice parameters (Å, degrees): 4.9129 4.9129 4.9129 60.00 60.00 60.00
Last column: nearest neighbours and their distance in Å.
Atoms (fractional coordinates):
Na  0.0000  0.0000  0.0000  8 In 3.01
In  0.2500  0.2500  0.2500  4 Na 3.01, 4 Cu 3.01
In  0.7500  0.7500  0.7500  4 Na 3.01, 4 Cu 3.01
Cu  0.5000  0.5000  0.5000  8 In 3.01

Calculated formation energy, eV per atom: 0.065


# 3
DFT (GGA-PBE) results for a relaxed YAl4Cu2Ir crystal.

Lattice parameters (Å, degrees): 9.2098 9.2098 9.2098 26.24 26.24 26.24
Last column: nearest neighbours and their distance in Å.
Atoms (fractional coordinates):
Y  0.0000  0.0000  0.0000  6 Al 3.07
Al  0.1315  0.1315  0.1315  3 Ir 2.59, 4 Cu 2.60-2.85
Al  0.4042  0.4042  0.4042  3 Cu 2.50, 1 Ir 2.55
Al  0.5958  0.5958  0.5958  3 Cu 2.50, 1 Ir 2.55
Al  0.8685  0.8685  0.8685  3 Ir 2.59, 4 Cu 2.60-2.85
Cu  0.2385  0.2385  0.2385  6 Al 2.50-2.60
Cu  0.7615  0.7615  0.7615  6 Al 2.50-2.60
Ir  0.5000  0.5000  0.5000  8 Al 2.55-2.59

Calculated formation energy, eV per atom: -0.453


# 4
DFT (GGA-PBE) results for a relaxed Nd8Tl2Ge crystal.

Lattice parameters (Å, degrees): 10.0898 10.0898 6.9912 105.03 105.03 30.44
Last column: nearest neighbours and their distance in Å.
Atoms (fractional coordinates):
Nd  0.0103  0.0103  0.2723  2 Ge 3.12, 1 Tl 3.30, 3 Nd 3.31-3.43
Nd  0.2114  0.2114  0.8157  3 Tl 3.26-3.53, 2 Nd 3.49
Nd  0.3468  0.3468  0.5122  1 Ge 3.01, 3 Tl 3.24-3.33
Nd  0.4098  0.4098  0.0392  1 Ge 3.23, 3 Nd 3.43-3.56, 2 Tl 3.47
Nd  0.5903  0.5903  0.9608  1 Ge 3.23, 3 Nd 3.43-3.56, 2 Tl 3.47
Nd  0.6532  0.6532  0.4878  1 Ge 3.01, 3 Tl 3.24-3.33
Nd  0.7886  0.7886  0.1843  3 Tl 3.26-3.53, 2 Nd 3.49
Nd  0.9897  0.9897  0.7277  2 Ge 3.12, 1 Tl 3.30, 3 Nd 3.31-3.43
Tl  0.1768  0.1768  0.2463  9 Nd 3.24-3.53
Tl  0.8232  0.8232  0.7537  9 Nd 3.24-3.53
Ge  0.5000  0.5000  0.5000  8 Nd 3.01-3.23

Calculated formation energy, eV per atom: -0.260


# 5
DFT (GGA-PBE) results for a relaxed Pm4Dy2Tm5 crystal.

Lattice parameters (Å, degrees): 12.0221 12.0221 8.6944 97.02 97.02 16.58
Last column: nearest neighbours and their distance in Å.
Atoms (fractional coordinates):
Pm  0.0459  0.0459  0.3575  2 Dy 3.25-3.38, 3 Tm 3.30-3.61, 5 Pm 3.47-3.63
Pm  0.3214  0.3214  0.5300  6 Pm 3.47-3.79, 5 Tm 3.56-3.66, 2 Dy 3.77
Pm  0.6786  0.6786  0.4700  6 Pm 3.47-3.79, 5 Tm 3.56-3.66, 2 Dy 3.77
Pm  0.9541  0.9541  0.6425  2 Dy 3.25-3.38, 3 Tm 3.30-3.61, 5 Pm 3.47-3.63
Dy  0.0902  0.0902  0.7416  2 Pm 3.25-3.38, 2 Tm 3.32-3.37, 2 Dy 3.47
Dy  0.9098  0.9098  0.2584  2 Pm 3.25-3.38, 2 Tm 3.32-3.37, 2 Dy 3.47
Tm  0.1418  0.1418  0.1145  3 Pm 3.30-3.56, 1 Dy 3.32, 5 Tm 3.45-3.48
Tm  0.2321  0.2321  0.8292  1 Dy 3.37, 7 Tm 3.45-3.48, 3 Pm 3.56-3.66
Tm  0.5000  0.5000  0.0000  6 Tm 3.47-3.81, 4 Pm 3.61, 4 Dy 3.72
Tm  0.7679  0.7679  0.1708  1 Dy 3.37, 7 Tm 3.45-3.48, 3 Pm 3.56-3.66
Tm  0.8582  0.8582  0.8855  3 Pm 3.30-3.56, 1 Dy 3.32, 5 Tm 3.45-3.48

Calculated formation energy, eV per atom: 0.153
ΔE to the lowest computed polymorph, meV per atom: 47


# 6
DFT (GGA-PBE) results for a relaxed ZrTe2H2 crystal.

Lattice parameters (Å, degrees): 7.0375 7.0375 7.0375 150.59 150.59 42.07
Last column: nearest neighbours and their distance in Å.
Atoms (fractional coordinates):
Zr  0.0000  0.0000  0.0000  8 Te 3.06
Te  0.3680  0.3680  0.0000  4 H 2.36
Te  0.6320  0.6320  0.0000  4 H 2.36
H  0.2500  0.7500  0.5000  4 Te 2.36, 4 H 2.53
H  0.7500  0.2500  0.5000  4 Te 2.36, 4 H 2.53


It is found that the total DFT energy (no corrections) values, taken in the order of the records, are -23.2, -10.6, -42.1, -50.3, -48.9, -20.7 eV/f.u..